[1]
Crystalline MoHS2 at its relaxed geometry. Source: the Alexandria database, functional PBE-GGA.

Summary:
- Calculated density: 4.0 Mg/m³
- Excess energy over the best structure of this formula in the dataset: 0 meV per atom

Cell lengths 3.269, 6.085, 7.141 Å; angles 73.71, 76.84, 90.00 degrees
Space group P-1 (No. 2)
Asymmetric unit:
1 Mo 0.246 0.307 0.009 [2 per cell]
2 H 0.061 0.779 0.380 [2 per cell]
3 S 0.162 0.868 0.177 [2 per cell]
4 S 0.377 0.652 0.745 [2 per cell]

***

[2]
Crystalline HfTe2I2 at its relaxed geometry. Source: the Alexandria database, functional PBE-GGA.

Summary:
- Calculated density: 5.9 Mg/m³
- Excess energy over the best structure of this formula in the dataset: 0 meV per atom
- ΔE_f (raw): -0.657 eV/atom

Cell lengths 7.425, 13.445, 8.145 Å; angles 90.00, 107.08, 90.00 degrees
Space group C2/m (No. 12)
Asymmetric unit:
1 Hf 0.000 0.138 0.000 [4 per cell]
2 Te 0.093 0.000 0.306 [4 per cell]
3 Te 0.177 0.500 0.901 [4 per cell]
4 I 0.247 0.215 0.780 [8 per cell]

***

Calculated volume for every record listed, in sequence, given in Å³/atom: 16.56 38.86.
Uncorrected energy for every record listed, in sequence, given in eV per cell: -48.8 -90.5.